Model P:
BeTlAu3 after structural relaxation, computed with PBE-GGA.

a = 6.543 Å, b = 6.543 Å, c = 5.078 Å
α = 89.63°, β = 89.63°, γ = 62.56°
Sites, in units of the cell vectors:
Au 0.291 0.709 0.000
Au 0.109 0.109 0.629
Au 0.000 0.500 0.000
Au 0.709 0.291 0.000
Au 0.500 0.000 0.000
Au 0.891 0.891 0.371
Tl 0.642 0.642 0.513
Tl 0.358 0.358 0.487
Be 0.098 0.098 0.161
Be 0.902 0.902 0.839

Model Q:
BeTlAu3 after structural relaxation, computed with PBE-GGA.

a = 5.298 Å, b = 5.298 Å, c = 5.298 Å
α = 90.00°, β = 90.00°, γ = 90.00°
Sites, in units of the cell vectors:
Au 0.000 0.500 0.000
Au 0.500 0.000 0.000
Au 0.000 0.000 0.500
Be 0.500 0.500 0.500
Tl 0.000 0.000 0.000

Question: which arrangement is favored energetically? Ranking from most to least stable: model P, model Q.